Compound: Y3VCl
Source: Alexandria via LeMat-Bulk
Functional: GGA-PBE
Structure: relaxed

extended XYZ file:
```
5
Lattice="5.148 0.000 0.000 0.000 5.148 0.000 0.000 0.000 5.148" Properties=species:S:1:pos:R:3 pbc="T T T"
Y 0.000 2.574 0.000
Y 0.000 0.000 2.574
Y 2.574 0.000 0.000
V 2.574 2.574 2.574
Cl 0.000 0.000 0.000
```

Computed properties:
relative energy among the computed polymorphs	0.00	kJ per mole of atoms
D(E_F)	7.8	states/eV/cell

=====

Compound: YV4Cl2
Source: Alexandria via LeMat-Bulk
Functional: GGA-PBE
Structure: relaxed

extended XYZ file:
```
7
Lattice="5.011 0.000 0.000 0.000 5.011 0.000 2.506 2.506 6.602" Properties=species:S:1:pos:R:3 pbc="T T T"
Y 0.000 0.000 0.000
Cl 5.011 5.011 5.221
Cl 2.506 2.506 1.381
V 5.011 5.011 2.866
V 2.506 2.506 3.736
V 0.000 2.506 0.000
V 2.506 0.000 0.000
```

Computed properties:
energy	-5.2904	eV/atom
D(E_F)	10.2	states/eV/cell

=====

Compound: VZn2Cl
Source: Alexandria via LeMat-Bulk
Functional: GGA-PBE
Structure: relaxed

extended XYZ file:
```
4
Lattice="0.185 -3.981 2.675 1.889 0.158 4.410 -2.840 -0.442 3.845" Properties=species:S:1:pos:R:3 pbc="T T T"
Zn -0.191 -1.067 2.733
Zn -0.574 -3.200 8.198
V -0.383 -2.133 5.465
Cl 0.000 0.000 0.000
```

Computed properties:
relative energy among the computed polymorphs	37.28	kJ per mole of atoms
D(E_F)	4.5	states/eV/cell

=====

Compound: VZnCl3
Source: Alexandria via LeMat-Bulk
Functional: GGA-PBE
Structure: relaxed

extended XYZ file:
```
5
Lattice="-3.772 -0.779 2.952 3.000 -0.073 3.814 -0.568 4.789 0.538" Properties=species:S:1:pos:R:3 pbc="T T T"
Zn 0.000 0.000 0.000
V -0.670 1.969 3.652
Cl 1.500 -0.036 1.907
Cl -0.284 2.395 0.269
Cl -1.886 -0.390 1.476
```

Computed properties:
relative energy among the computed polymorphs	40.87	kJ per mole of atoms
D(E_F)	9.3	states/eV/cell

=====

Compound: V3ZnCl
Source: Alexandria via LeMat-Bulk
Functional: GGA-PBE
Structure: relaxed

extended XYZ file:
```
5
Lattice="4.259 0.000 0.000 0.000 4.259 0.000 0.000 0.000 4.259" Properties=species:S:1:pos:R:3 pbc="T T T"
Zn 2.130 2.130 2.130
V 0.000 2.130 0.000
V 0.000 0.000 2.130
V 2.130 0.000 0.000
Cl 0.000 0.000 0.000
```

Computed properties:
relative energy among the computed polymorphs	0.00	kJ per mole of atoms
D(E_F)	4.7	states/eV/cell

=====

Compound: VZn3Cl
Source: Alexandria via LeMat-Bulk
Functional: GGA-PBE
Structure: relaxed

extended XYZ file:
```
5
Lattice="-3.098 -3.445 -2.195 2.907 -3.795 1.854 -2.871 -0.124 4.246" Properties=species:S:1:pos:R:3 pbc="T T T"
Zn 1.453 -1.897 0.927
Zn -1.435 -0.062 2.123
Zn -1.549 -1.723 -1.098
V 0.000 0.000 0.000
Cl -1.531 -3.682 1.952
```

Computed properties:
relative energy among the computed polymorphs	0.00	kJ per mole of atoms
D(E_F)	8.0	states/eV/cell

=====

Compound: VZn2Cl
Source: Alexandria via LeMat-Bulk
Functional: GGA-PBE
Structure: relaxed

extended XYZ file:
```
8
Lattice="-4.759 5.740 1.952 -5.577 -3.170 -4.273 -5.957 -0.058 0.865" Properties=species:S:1:pos:R:3 pbc="T T T"
Zn -5.188 3.209 0.914
Zn -5.542 -1.311 -2.222
Zn -8.312 0.938 -0.197
Zn -13.543 2.187 -1.406
V 0.000 0.000 0.000
V -7.942 3.483 0.829
Cl -5.168 1.285 -1.160
Cl -8.351 -0.972 -2.284
```

Computed properties:
relative energy among the computed polymorphs	0.00	kJ per mole of atoms
D(E_F)	4.7	states/eV/cell

=====

Compound: VZnCl3
Source: Alexandria via LeMat-Bulk
Functional: GGA-PBE
Structure: relaxed

extended XYZ file:
```
5
Lattice="4.858 0.000 0.000 0.000 4.858 0.000 0.000 0.000 4.858" Properties=species:S:1:pos:R:3 pbc="T T T"
Zn 2.429 2.429 2.429
V 0.000 0.000 0.000
Cl 0.000 2.429 0.000
Cl 0.000 0.000 2.429
Cl 2.429 0.000 0.000
```

Computed properties:
relative energy among the computed polymorphs	0.00	kJ per mole of atoms
D(E_F)	3.5	states/eV/cell

=====

> What is the formula in the second record?

YV4Cl2